This record from the Alexandria database describes an optimized crystal structure of VPHCl2. The functional is PBE.

a = 4.750 Å, b = 4.750 Å, c = 4.711 Å
α = 90.00°, β = 90.00°, γ = 90.00°
Last column: magnetic moment on the atom in μB.
Fractional coordinates of all 5 atoms:
Cl (0.000, 0.500, 0.000)  -0.05
Cl (0.500, 0.000, 0.000)  -0.05
V (0.000, 0.000, 0.000)  1.38
H (0.500, 0.500, 0.500)  0.36
P (0.000, 0.000, 0.500)  -0.57

Output
Final energy = -20.56 eV per cell
ΔE to the lowest computed polymorph = 0 meV per atom
SG = P4/mmm, No. 123